1.
Density functional theory data (PBE) for a geometry-optimized La10Sn3Pb3 structure.

Calculated density: 7.078 g/cm3
Formation energy from the elements: -0.630 eV/atom

a = 6.976 Å, b = 9.587 Å, c = 9.587 Å
α = 120.00°, β = 90.00°, γ = 90.00°
Site moments in Bohr magnetons follow the coordinates.
Positions (direct):
La1 0.240 0.333 0.667  0.04
La2 0.000 0.755 0.755  0.06
La3 0.000 0.000 0.245  0.06
La4 0.240 0.667 0.333  0.04
La5 0.760 0.333 0.667  0.04
La6 0.760 0.667 0.333  0.04
La7 0.500 0.000 0.752  0.04
La8 0.500 0.752 0.000  0.04
La9 0.500 0.248 0.248  0.04
La10 0.000 0.245 0.000  0.06
Sn1 0.000 0.610 0.000  0.00
Sn2 0.000 0.390 0.390  0.00
Sn3 0.000 0.000 0.610  0.00
Pb1 0.500 0.000 0.391  0.00
Pb2 0.500 0.609 0.609  0.00
Pb3 0.500 0.391 0.000  0.00

***

2.
Density functional theory data (PBE) for a geometry-optimized Sr2LaSnPb structure.

Calculated density: 4.557 g/cm3
Formation energy from the elements: 0.587 eV/atom

a = 6.300 Å, b = 5.877 Å, c = 6.300 Å
α = 90.00°, β = 90.00°, γ = 90.00°
Positions (direct):
La1 0.000 0.000 0.000
Sr1 0.000 0.000 0.500
Sr2 0.500 0.000 0.000
Sn1 0.000 0.500 0.000
Pb1 0.500 0.500 0.500

***

3.
Density functional theory data (PBE) for a geometry-optimized La6Sn2Te3Pb structure.

Calculated density: 6.515 g/cm3
Energy relative to the elements, uncorrected: -14.1 eV/f.u.

a = 4.643 Å, b = 9.272 Å, c = 10.370 Å
α = 102.98°, β = 102.94°, γ = 90.00°
Positions (direct):
La1 0.331 0.422 0.662
La2 0.998 0.752 0.996
La3 0.334 0.911 0.668
La4 0.002 0.248 0.004
La5 0.669 0.578 0.338
La6 0.666 0.089 0.332
Sn1 0.833 0.667 0.667
Sn2 0.167 0.333 0.333
Te1 0.500 0.500 0.000
Te2 0.166 0.833 0.333
Te3 0.834 0.167 0.667
Pb1 0.500 0.000 0.000

***

4.
Density functional theory data (PBE) for a geometry-optimized La6SnTe3Pb2 structure.

Calculated density: 6.833 g/cm3
Energy relative to the elements, uncorrected: -13.7 eV/f.u.

a = 4.652 Å, b = 9.278 Å, c = 10.380 Å
α = 102.87°, β = 102.95°, γ = 90.00°
Positions (direct):
Te1 0.500 0.500 0.000
Te2 0.833 0.167 0.666
Te3 0.167 0.833 0.334
Sn1 0.500 0.000 0.000
La1 0.999 0.756 0.998
La2 0.001 0.244 0.002
La3 0.332 0.420 0.665
La4 0.668 0.580 0.335
La5 0.336 0.914 0.672
La6 0.664 0.086 0.328
Pb1 0.167 0.333 0.333
Pb2 0.833 0.667 0.667

***

5.
Density functional theory data (PBE) for a geometry-optimized LaThSnPb structure.

Calculated density: 9.412 g/cm3
Formation energy from the elements: -0.399 eV/atom

a = 5.581 Å, b = 5.581 Å, c = 5.581 Å
α = 60.00°, β = 60.00°, γ = 60.00°
Positions (direct):
Th1 0.000 0.000 0.000
La1 0.500 0.500 0.500
Pb1 0.750 0.750 0.750
Sn1 0.250 0.250 0.250

***

6.
Density functional theory data (PBE) for a geometry-optimized LaTlSnPb structure.

Calculated density: 9.532 g/cm3
Polymorph energy (0 for the lowest one): 0 meV/atom
Formation energy from the elements: -0.473 eV/atom

a = 4.825 Å, b = 4.873 Å, c = 4.959 Å
α = 90.00°, β = 90.00°, γ = 90.00°
Positions (direct):
La1 0.500 0.000 0.500
Tl1 0.000 0.500 0.500
Pb1 0.500 0.500 0.000
Sn1 0.000 0.000 0.000

***

7.
Density functional theory data (PBE) for a geometry-optimized LaTlSnPb structure.

Calculated density: 9.033 g/cm3
Polymorph energy (0 for the lowest one): 197 meV/atom
Formation energy from the elements: -0.276 eV/atom

a = 5.583 Å, b = 5.583 Å, c = 5.583 Å
α = 60.00°, β = 60.00°, γ = 60.00°
Positions (direct):
Tl1 0.750 0.750 0.750
La1 0.500 0.500 0.500
Pb1 0.000 0.000 0.000
Sn1 0.250 0.250 0.250

***

8.
Density functional theory data (PBE) for a geometry-optimized SrLaPb2 structure.

Calculated density: 7.884 g/cm3
Formation energy from the elements: -0.130 eV/atom

a = 5.758 Å, b = 5.758 Å, c = 5.758 Å
α = 60.00°, β = 60.00°, γ = 60.00°
Positions (direct):
La1 0.500 0.500 0.500
Sr1 0.750 0.750 0.750
Pb1 0.250 0.250 0.250
Pb2 0.000 0.000 0.000

***

9.
Density functional theory data (PBE) for a geometry-optimized Sr2LaPb structure.

Calculated density: 5.662 g/cm3
Formation energy from the elements: -0.174 eV/atom

a = 3.961 Å, b = 5.261 Å, c = 7.336 Å
α = 90.00°, β = 90.00°, γ = 90.00°
Positions (direct):
Sr1 0.000 0.000 0.984
Sr2 0.000 0.000 0.516
La1 0.500 0.500 0.250
Pb1 0.500 0.500 0.750

***

10.
Density functional theory data (PBE) for a geometry-optimized Sr2LaPb structure.

Calculated density: 5.527 g/cm3
Formation energy from the elements: -0.204 eV/atom

a = 4.611 Å, b = 7.147 Å, c = 5.496 Å
α = 67.38°, β = 90.00°, γ = 108.82°
Positions (direct):
Sr1 0.965 0.930 0.035
Sr2 0.535 0.070 0.465
La1 0.750 0.500 0.750
Pb1 0.250 0.500 0.250

***

11.
Density functional theory data (PBE) for a geometry-optimized SrLaPb2 structure.

Calculated density: 8.082 g/cm3
Formation energy from the elements: -0.544 eV/atom

a = 6.035 Å, b = 6.035 Å, c = 3.695 Å
α = 90.00°, β = 90.00°, γ = 101.91°
Site moments in Bohr magnetons follow the coordinates.
Positions (direct):
Pb1 0.500 0.500 0.000  0.00
Pb2 0.000 0.000 0.000  0.00
Sr1 0.500 0.000 0.500  0.01
La1 0.000 0.500 0.500  0.16

***

12.
Density functional theory data (PBE) for a geometry-optimized SrLa2Pb2 structure.

Calculated density: 6.976 g/cm3
Polymorph energy (0 for the lowest one): 189 meV/atom
Formation energy from the elements: -0.344 eV/atom

a = 4.995 Å, b = 4.995 Å, c = 8.237 Å
α = 72.35°, β = 72.35°, γ = 90.00°
Positions (direct):
Sr1 0.000 0.000 0.000
Pb1 0.602 0.602 0.797
Pb2 0.398 0.398 0.203
La1 0.750 0.250 0.500
La2 0.250 0.750 0.500

***

13.
Density functional theory data (PBE) for a geometry-optimized SrLaPb2 structure.

Calculated density: 8.033 g/cm3
Formation energy from the elements: -0.533 eV/atom

a = 5.360 Å, b = 5.358 Å, c = 4.613 Å
α = 90.00°, β = 90.00°, γ = 90.00°
Positions (direct):
La1 0.000 0.500 0.500
Pb1 0.000 0.000 0.000
Pb2 0.500 0.500 0.000
Sr1 0.500 0.000 0.500

***

14.
Density functional theory data (PBE) for a geometry-optimized SrLaPb structure.

Calculated density: 6.338 g/cm3
Formation energy from the elements: -0.294 eV/atom

a = 7.236 Å, b = 7.236 Å, c = 7.236 Å
α = 149.65°, β = 143.41°, γ = 48.25°
Site moments in Bohr magnetons follow the coordinates.
Positions (direct):
Pb1 0.341 0.341 0.000  0.00
Sr1 0.690 0.690 0.000  0.03
La1 0.969 0.969 0.000  0.20

***

15.
Density functional theory data (PBE) for a geometry-optimized SrLa4Pb5 structure.

Calculated density: 8.685 g/cm3
Formation energy from the elements: -0.575 eV/atom

a = 3.701 Å, b = 3.701 Å, c = 23.444 Å
α = 90.00°, β = 90.00°, γ = 90.00°
Positions (direct):
Pb1 0.500 0.500 0.500
Pb2 0.500 0.500 0.698
Pb3 0.500 0.500 0.302
Pb4 0.500 0.500 0.103
Pb5 0.500 0.500 0.897
La1 0.000 0.000 0.599
La2 0.000 0.000 0.203
La3 0.000 0.000 0.797
La4 0.000 0.000 0.401
Sr1 0.000 0.000 0.000

***

16.
Density functional theory data (PBE) for a geometry-optimized SrLa4Pb4 structure.

Calculated density: 6.624 g/cm3
Formation energy from the elements: -0.381 eV/atom

a = 6.589 Å, b = 10.583 Å, c = 10.583 Å
α = 90.00°, β = 90.00°, γ = 90.00°
Positions (direct):
La1 0.392 0.344 0.894
La2 0.892 0.606 0.844
La3 0.892 0.394 0.156
La4 0.392 0.656 0.106
La5 0.608 0.106 0.344
La6 0.108 0.156 0.606
La7 0.108 0.844 0.394
La8 0.608 0.894 0.656
Pb1 0.400 0.640 0.792
Pb2 0.600 0.208 0.640
Pb3 0.900 0.708 0.140
Pb4 0.100 0.860 0.708
Pb5 0.400 0.360 0.208
Pb6 0.600 0.792 0.360
Pb7 0.900 0.292 0.860
Pb8 0.100 0.140 0.292
Sr1 0.000 0.000 0.000
Sr2 0.500 0.500 0.500

***

17.
Density functional theory data (PBE) for a geometry-optimized SrLa5Pb3 structure.

Calculated density: 7.669 g/cm3
Formation energy from the elements: -0.476 eV/atom

a = 7.057 Å, b = 9.974 Å, c = 9.974 Å
α = 120.00°, β = 90.00°, γ = 90.00°
Site moments in Bohr magnetons follow the coordinates.
Positions (direct):
Pb1 0.750 0.332 0.332  -0.02
Pb2 0.250 0.332 0.000  -0.02
Pb3 0.750 0.000 0.668  -0.02
Pb4 0.250 0.668 0.668  -0.02
Pb5 0.750 0.668 0.000  -0.02
Pb6 0.250 0.000 0.332  -0.02
La1 0.000 0.667 0.333  0.41
La2 0.750 0.661 0.661  0.18
La3 0.250 0.339 0.339  0.18
La4 0.000 0.333 0.667  0.41
La5 0.750 0.000 0.339  0.18
La6 0.750 0.339 0.000  0.18
La7 0.250 0.661 0.000  0.18
La8 0.500 0.333 0.667  0.41
La9 0.500 0.667 0.333  0.41
La10 0.250 0.000 0.661  0.18
Sr1 0.000 0.000 0.000  -0.01
Sr2 0.500 0.000 0.000  -0.01

***

18.
Density functional theory data (PBE) for a geometry-optimized Sr2LaPb structure.

Calculated density: 5.325 g/cm3
Formation energy from the elements: -0.217 eV/atom

a = 4.127 Å, b = 4.560 Å, c = 8.639 Å
α = 90.00°, β = 90.00°, γ = 90.00°
Site moments in Bohr magnetons follow the coordinates.
Positions (direct):
La1 0.000 0.000 0.549  0.22
Sr1 0.000 0.000 0.950  0.00
Sr2 0.500 0.500 0.277  0.08
Pb1 0.500 0.500 0.725  -0.01

***

19.
Density functional theory data (PBE) for a geometry-optimized SrLa2Pb9 structure.

Calculated density: 9.969 g/cm3
Formation energy from the elements: -0.415 eV/atom

a = 4.982 Å, b = 4.982 Å, c = 14.964 Å
α = 90.00°, β = 90.00°, γ = 90.00°
Positions (direct):
Pb1 0.000 0.500 0.168
Pb2 0.500 0.500 0.000
Pb3 0.000 0.500 0.500
Pb4 0.500 0.000 0.168
Pb5 0.500 0.000 0.500
Pb6 0.500 0.500 0.334
Pb7 0.500 0.000 0.832
Pb8 0.000 0.500 0.832
Pb9 0.500 0.500 0.666
La1 0.000 0.000 0.663
La2 0.000 0.000 0.337
Sr1 0.000 0.000 0.000

***

20.
Density functional theory data (PBE) for a geometry-optimized Sr2LaPb structure.

Calculated density: 5.614 g/cm3
Formation energy from the elements: -0.175 eV/atom

a = 5.337 Å, b = 3.976 Å, c = 7.997 Å
α = 65.33°, β = 90.00°, γ = 90.00°
Positions (direct):
La1 0.500 0.250 0.250
Sr1 0.000 0.971 0.985
Sr2 0.000 0.529 0.515
Pb1 0.500 0.750 0.750

***

Results for E_tot: -0.1895 -0.0961 -0.1984 -0.1965 -0.1989 -0.1552 -0.1480 -0.1336 -0.1167 -0.1177 -0.1488 -0.1519 -0.1484 -0.1372 -0.1679 -0.1619 -0.1704 -0.1182 -0.1528 -0.1167 (in Ha/atom, following the order of the records).